(1)
A plane-wave DFT calculation with PBE was carried out for a relaxed Tm2PRh6 crystal.

Computed properties:
The calculation puts the formation enthalpy at 0 K at -0.88 eV/atom. The calculation puts the total magnetic moment at 0.000 μB per atom. The space-group type is Fm-3m, No. 225.

Cell: 5.917 5.917 5.917 Å, 60.00 60.00 59.99°
Atoms (fractional coordinates):
Tm1 0.250 0.250 0.250
Tm2 0.750 0.750 0.750
P1 0.500 0.500 0.500
Rh1 0.234 0.234 0.766
Rh2 0.234 0.766 0.234
Rh3 0.766 0.234 0.766
Rh4 0.766 0.234 0.234
Rh5 0.234 0.766 0.766
Rh6 0.766 0.766 0.234

***

(2)
A plane-wave DFT calculation with PBE was carried out for a relaxed Tm2P3Rh5 crystal.

Computed properties:
The calculation puts the formation enthalpy at 0 K at -0.98 eV/atom. The calculation puts the total magnetic moment at 0.000 μB per atom. The space-group type is Cmc2_1, No. 36.

Cell: 4.020 6.466 12.153 Å, 90.00 99.52 90.00°
Atoms (fractional coordinates):
Tm1 0.479 0.782 0.958
Tm2 0.176 0.736 0.353
Tm3 0.824 0.236 0.647
Tm4 0.521 0.282 0.042
P1 0.779 0.679 0.558
P2 0.610 0.536 0.221
P3 0.046 0.991 0.092
P4 0.221 0.179 0.442
P5 0.954 0.491 0.908
P6 0.390 0.036 0.779
Rh1 0.404 0.408 0.808
Rh2 0.274 0.486 0.548
Rh3 0.726 0.986 0.452
Rh4 0.122 0.234 0.244
Rh5 0.302 0.895 0.605
Rh6 0.942 0.118 0.885
Rh7 0.698 0.395 0.395
Rh8 0.878 0.734 0.756
Rh9 0.058 0.618 0.115
Rh10 0.596 0.908 0.192

***

(3)
A plane-wave DFT calculation with PBE was carried out for a relaxed Tm3P4Rh4 crystal.

Computed properties:
The calculation puts the formation enthalpy at 0 K at -1.19 eV/atom. The calculation puts the total magnetic moment at 0.000 μB per atom. The space-group type is Immm, No. 71.

Cell: 3.925 6.924 7.682 Å, 116.79 104.80 90.00°
Atoms (fractional coordinates):
Tm1 0.121 0.121 0.243
Tm2 0.879 0.879 0.757
Tm3 0.000 0.500 0.000
P1 0.220 0.720 0.439
P2 0.780 0.280 0.561
P3 0.500 0.796 0.000
P4 0.500 0.204 0.000
Rh1 0.325 0.122 0.650
Rh2 0.675 0.472 0.350
Rh3 0.675 0.878 0.350
Rh4 0.325 0.528 0.650

***

(4)
A plane-wave DFT calculation with PBE was carried out for a relaxed TmPRh3 crystal.

Computed properties:
The calculation puts the formation enthalpy at 0 K at -0.70 eV/atom. The calculation puts the total magnetic moment at 0.000 μB per atom. The space-group type is Pm-3m, No. 221.

Cell: 4.432 4.432 4.432 Å, 90.00 90.00 90.00°
Atoms (fractional coordinates):
P1 0.000 0.000 0.000
Tm1 0.500 0.500 0.500
Rh1 0.000 0.500 0.000
Rh2 0.000 0.000 0.500
Rh3 0.500 0.000 0.000

***

(5)
A plane-wave DFT calculation with PBE was carried out for a relaxed TmP2Rh4 crystal.

Computed properties:
The calculation puts the formation enthalpy at 0 K at -0.89 eV/atom. The calculation puts the total magnetic moment at 0.000 μB per atom. The space-group type is Pnma, No. 62.

Cell: 4.084 6.282 16.465 Å, 90.00 90.00 90.00°
Atoms (fractional coordinates):
Tm1 0.750 0.971 0.640
Tm2 0.250 0.029 0.360
Tm3 0.250 0.471 0.860
Tm4 0.750 0.529 0.140
P1 0.250 0.758 0.539
P2 0.750 0.242 0.461
P3 0.750 0.258 0.961
P4 0.250 0.742 0.039
P5 0.250 0.903 0.791
P6 0.750 0.097 0.209
P7 0.750 0.403 0.709
P8 0.250 0.597 0.291
Rh1 0.250 0.216 0.717
Rh2 0.750 0.784 0.283
Rh3 0.750 0.716 0.783
Rh4 0.250 0.284 0.217
Rh5 0.250 0.635 0.672
Rh6 0.750 0.365 0.328
Rh7 0.750 0.135 0.828
Rh8 0.250 0.865 0.172
Rh9 0.250 0.143 0.527
Rh10 0.750 0.857 0.473
Rh11 0.750 0.643 0.973
Rh12 0.250 0.357 0.027
Rh13 0.250 0.523 0.431
Rh14 0.750 0.477 0.569
Rh15 0.750 0.023 0.069
Rh16 0.250 0.977 0.931

***

(6)
A plane-wave DFT calculation with PBE was carried out for a relaxed TmP2Rh2 crystal.

Computed properties:
The calculation puts the formation enthalpy at 0 K at -0.92 eV/atom. The calculation puts the total magnetic moment at 0.000 μB per atom. The space-group type is Fddd, No. 70.

Cell: 5.435 5.435 7.111 Å, 101.05 101.05 119.91°
Atoms (fractional coordinates):
Tm1 0.875 0.625 0.750
Tm2 0.125 0.375 0.250
P1 0.175 0.325 0.750
P2 0.424 0.076 0.250
P3 0.576 0.924 0.750
P4 0.825 0.675 0.250
Rh1 0.268 0.018 0.537
Rh2 0.518 0.768 0.037
Rh3 0.732 0.982 0.463
Rh4 0.482 0.232 0.963

***

(7)
A plane-wave DFT calculation with PBE was carried out for a relaxed TmP2Rh4 crystal.

Computed properties:
The calculation puts the formation enthalpy at 0 K at -0.89 eV/atom. The calculation puts the total magnetic moment at 0.000 μB per atom. The space-group type is P4_2/mnm, No. 136.

Cell: 3.661 7.618 7.618 Å, 90.00 90.00 90.00°
Atoms (fractional coordinates):
Tm1 0.500 0.000 0.000
Tm2 0.000 0.500 0.500
P1 0.000 0.235 0.765
P2 0.000 0.765 0.235
P3 0.500 0.735 0.735
P4 0.500 0.265 0.265
Rh1 0.000 0.068 0.318
Rh2 0.000 0.932 0.682
Rh3 0.500 0.182 0.568
Rh4 0.500 0.818 0.432
Rh5 0.500 0.432 0.818
Rh6 0.500 0.568 0.182
Rh7 0.000 0.318 0.068
Rh8 0.000 0.682 0.932

***

(8)
A plane-wave DFT calculation with PBE was carried out for a relaxed TmPRh crystal.

Computed properties:
The calculation puts the formation enthalpy at 0 K at -1.27 eV/atom. The calculation puts the total magnetic moment at 0.000 μB per atom. The space-group type is P2_1/m, No. 11.

Cell: 3.855 6.727 11.655 Å, 88.94 90.00 90.00°
Atoms (fractional coordinates):
Tm1 0.750 0.531 0.379
Tm2 0.250 0.970 0.709
Tm3 0.750 0.030 0.291
Tm4 0.750 0.652 0.080
Tm5 0.250 0.469 0.621
Tm6 0.250 0.348 0.920
P1 0.250 0.775 0.919
P2 0.750 0.266 0.751
P3 0.750 0.768 0.576
P4 0.750 0.225 0.081
P5 0.250 0.232 0.424
P6 0.250 0.734 0.249
Rh1 0.250 0.005 0.091
Rh2 0.250 0.847 0.461
Rh3 0.750 0.634 0.794
Rh4 0.750 0.153 0.539
Rh5 0.250 0.366 0.206
Rh6 0.750 0.995 0.909